1.
# MgTl4Os2 (PBE-GGA, relaxed)
data_MgTl4Os2
_space_group_name_H-M_alt 'I 4/m m m'
_space_group_IT_number 139
_space_group_name_Hall '-I 4 2'
_cell_length_a 5.431
_cell_length_b 5.431
_cell_length_c 13.601
_cell_angle_alpha 90.00
_cell_angle_beta 90.00
_cell_angle_gamma 90.00
loop_
_atom_site_label
_atom_site_type_symbol
_atom_site_fract_x
_atom_site_fract_y
_atom_site_fract_z
Mg1 Mg 0.000 0.000 0.000
Tl1 Tl 0.000 0.000 0.211
Tl2 Tl 0.000 0.500 0.000
Os1 Os 0.000 0.000 0.414
# ΔE_f ... 1.106 eV per atom
# Total magnetization ... 2.40 μB per formula unit


2.
# KLiV2 (PBE-GGA, relaxed)
data_KLiV2
_space_group_name_H-M_alt 'I -4 2 d'
_space_group_IT_number 122
_space_group_name_Hall 'I -4 2bw'
_cell_length_a 3.898
_cell_length_b 3.898
_cell_length_c 22.822
_cell_angle_alpha 90.00
_cell_angle_beta 90.00
_cell_angle_gamma 90.00
loop_
_atom_site_label
_atom_site_type_symbol
_atom_site_fract_x
_atom_site_fract_y
_atom_site_fract_z
K1 K 0.000 0.000 0.000
Li1 Li 0.000 0.000 0.500
V1 V 0.115 0.750 0.625
# ΔE to the lowest computed polymorph ... 0.00 eV per formula unit
# ΔE_f ... 1.265 eV per atom
# Total magnetization ... 0.00 μB per formula unit


3.
# MnPt2Rh (PBE-GGA, relaxed)
data_MnPt2Rh
_space_group_name_H-M_alt 'F -4 3 m'
_space_group_IT_number 216
_space_group_name_Hall 'F -4 2 3'
_cell_length_a 6.234
_cell_length_b 6.234
_cell_length_c 6.234
_cell_angle_alpha 90.00
_cell_angle_beta 90.00
_cell_angle_gamma 90.00
loop_
_atom_site_label
_atom_site_type_symbol
_atom_site_fract_x
_atom_site_fract_y
_atom_site_fract_z
Mn1 Mn 0.000 0.000 0.000
Pt1 Pt 0.000 0.000 0.500
Pt2 Pt 0.250 0.250 0.750
Rh1 Rh 0.250 0.250 0.250
# ΔE_f ... -0.058 eV per atom
# Total magnetization ... 3.62 μB per formula unit


4.
# KMgTl2F6 (PBE-GGA, relaxed)
data_KMgTl2F6
_space_group_name_H-M_alt 'P 1 21/c 1'
_space_group_IT_number 14
_cell_length_a 5.941
_cell_length_b 6.588
_cell_length_c 10.556
_cell_angle_alpha 90.00
_cell_angle_beta 123.60
_cell_angle_gamma 90.00
loop_
_space_group_symop_operation_xyz
'x,y,z'
'-x,-y,-z'
'-x,y+1/2,-z+1/2'
'x,-y+1/2,z+1/2'
loop_
_atom_site_label
_atom_site_type_symbol
_atom_site_fract_x
_atom_site_fract_y
_atom_site_fract_z
K1 K 0.000 0.000 0.000
Mg1 Mg 0.500 0.000 0.500
Tl1 Tl 0.219 0.043 0.731
F1 F 0.184 0.155 0.474
F2 F 0.237 0.742 0.899
F3 F 0.412 0.095 0.292
# Total magnetization ... 0.00 μB per formula unit
# Formation energy without anion corrections ... -2.447 eV/atom


5.
# CaPu2Ge3Pt4 (PBE-GGA, relaxed)
data_CaPu2Ge3Pt4
_space_group_name_H-M_alt 'P -4 m 2'
_space_group_IT_number 115
_cell_length_a 4.209
_cell_length_b 4.209
_cell_length_c 11.445
_cell_angle_alpha 90.00
_cell_angle_beta 90.00
_cell_angle_gamma 90.00
loop_
_space_group_symop_operation_xyz
'x,y,z'
'y,-x,-z'
'-x,-y,z'
'-y,x,-z'
'-x,y,z'
'-y,-x,-z'
'x,-y,z'
'y,x,-z'
loop_
_atom_site_label
_atom_site_type_symbol
_atom_site_fract_x
_atom_site_fract_y
_atom_site_fract_z
Ca1 Ca 0.000 0.000 0.000
Pu1 Pu 0.000 0.500 0.733
Ge1 Ge 0.000 0.500 0.375
Ge2 Ge 0.500 0.500 0.000
Pt1 Pt 0.000 0.000 0.500
Pt2 Pt 0.000 0.500 0.161
Pt3 Pt 0.500 0.500 0.500
# ΔE_f ... -0.681 eV per atom
# Total magnetization ... 11.23 μB per formula unit


6.
# AcNiSbH (PBE-GGA, relaxed)
data_AcNiSbH
_space_group_name_H-M_alt 'P 3 m 1'
_space_group_IT_number 156
_cell_length_a 4.4642
_cell_length_b 4.4642
_cell_length_c 4.6069
_cell_angle_alpha 90.00
_cell_angle_beta 90.00
_cell_angle_gamma 120.00
loop_
_space_group_symop_operation_xyz
'x,y,z'
'-y,x-y,z'
'-x+y,-x,z'
'-y,-x,z'
'-x+y,y,z'
'x,x-y,z'
loop_
_atom_site_label
_atom_site_type_symbol
_atom_site_fract_x
_atom_site_fract_y
_atom_site_fract_z
Ac1 Ac 0.0000 0.0000 0.0000
Ni1 Ni 0.6667 0.3333 0.5715
Sb1 Sb 0.3333 0.6667 0.4904
H1 H 0.6667 0.3333 0.9168
# ΔE to the lowest computed polymorph ... 0.00 eV per formula unit
# Total magnetization ... 0.00 μB per formula unit


7.
# Ho6Te3PPt2 (PBE-GGA, relaxed)
data_Ho6Te3PPt2
_space_group_name_H-M_alt 'C 1 2/m 1'
_space_group_IT_number 12
_cell_length_a 7.154
_cell_length_b 12.446
_cell_length_c 7.561
_cell_angle_alpha 90.00
_cell_angle_beta 108.60
_cell_angle_gamma 90.00
loop_
_space_group_symop_operation_xyz
'x,y,z'
'-x,-y,-z'
'-x,y,-z'
'x,-y,z'
'x+1/2,y+1/2,z'
'-x+1/2,-y+1/2,-z'
'-x+1/2,y+1/2,-z'
'x+1/2,-y+1/2,z'
loop_
_atom_site_label
_atom_site_type_symbol
_atom_site_fract_x
_atom_site_fract_y
_atom_site_fract_z
Ho1 Ho 0.237 0.000 0.213
Ho2 Ho 0.237 0.333 0.212
Te1 Te 0.000 0.000 0.500
Te2 Te 0.000 0.335 0.500
P1 P 0.000 0.500 0.000
Pt1 Pt 0.000 0.167 0.000
# Total magnetization ... 0.00 μB per formula unit
# Formation energy without anion corrections ... -1.328 eV/atom


8.
# GeTe2RuI (PBE-GGA, relaxed)
data_GeTe2RuI
_space_group_name_H-M_alt 'P 4/m m m'
_space_group_IT_number 123
_space_group_name_Hall '-P 4 2'
_cell_length_a 5.395
_cell_length_b 5.395
_cell_length_c 5.593
_cell_angle_alpha 90.00
_cell_angle_beta 90.00
_cell_angle_gamma 90.00
loop_
_atom_site_label
_atom_site_type_symbol
_atom_site_fract_x
_atom_site_fract_y
_atom_site_fract_z
Ge1 Ge 0.000 0.000 0.000
Te1 Te 0.000 0.500 0.000
Ru1 Ru 0.500 0.500 0.500
I1 I 0.000 0.000 0.500
# ΔE to the lowest computed polymorph ... 2.85 eV per formula unit
# Total magnetization ... 3.60 μB per formula unit
# Formation energy without anion corrections ... 1.137 eV/atom